Entry 1:
DFT (GGA-PBE) results for a geometry-optimized ScB4Mo structure.

a = 4.5356 Å, b = 4.5356 Å, c = 4.5356 Å
α = 140.17°, β = 108.36°, γ = 85.24°
Sites, in units of the cell vectors:
Sc 0.0000 0.0000 0.0000
B 0.0841 0.7485 0.3356
B 0.4129 0.7485 0.6644
B 0.5871 0.2515 0.3356
B 0.9159 0.2515 0.6644
Mo 0.5000 0.5000 0.0000

Results
energy above the most stable polymorph in this dataset	0	meV per atom
total magnetization	0.0	μB per cell
V	9.12	Å³ per atom
space group	Immm, No. 71
crystal system	orthorhombic


Entry 2:
DFT (GGA-PBE) results for a geometry-optimized Pr2DyAl3Ge2Ir structure.

a = 4.2951 Å, b = 7.1596 Å, c = 7.1596 Å
α = 119.95°, β = 90.00°, γ = 90.00°
Sites, in units of the cell vectors:
Pr 0.0000 0.2062 0.7938
Pr 0.0000 0.7938 0.2062
Dy 0.0000 0.3838 0.3838
Al 0.5000 0.0189 0.0189
Al 0.5000 0.5664 0.7880
Al 0.5000 0.7880 0.5664
Ge 0.5000 0.1329 0.4552
Ge 0.5000 0.4552 0.1329
Ir 0.0000 0.7836 0.7836

Results
total magnetization	0.0	μB per cell
V	21.20	Å³ per atom
uncorrected energy	-5.659	eV per atom
space group	Amm2, No. 38
crystal system	orthorhombic


Entry 3:
DFT (GGA-PBE) results for a geometry-optimized ScTl2ZnF6 structure.

a = 5.8923 Å, b = 5.8923 Å, c = 5.8923 Å
α = 60.00°, β = 60.00°, γ = 60.00°
Sites, in units of the cell vectors:
Sc 0.0000 0.0000 0.0000
Tl 0.2500 0.2500 0.2500
Tl 0.7500 0.7500 0.7500
Zn 0.5000 0.5000 0.5000
F 0.2427 0.2427 0.7573
F 0.2427 0.7573 0.2427
F 0.2427 0.7573 0.7573
F 0.7573 0.2427 0.2427
F 0.7573 0.2427 0.7573
F 0.7573 0.7573 0.2427

Results
total magnetization	0.0	μB per cell
V	14.47	Å³ per atom
uncorrected energy	-4.806	eV per atom
space group	Fm-3m, No. 225
crystal system	cubic


Entry 4:
DFT (GGA-PBE) results for a geometry-optimized NbRe2 structure.

a = 5.1956 Å, b = 5.1956 Å, c = 5.1956 Å
α = 119.96°, β = 119.96°, γ = 90.07°
Sites, in units of the cell vectors:
Nb 0.3750 0.6250 0.7500
Nb 0.6250 0.3750 0.2500
Re 0.0000 0.0000 0.0000
Re 0.0000 0.0000 0.5000
Re 0.0000 0.5000 0.0000
Re 0.5000 0.0000 0.5000

Results
total magnetization	0.0	μB per cell
V	16.54	Å³ per atom
space group	I4_1/amd, No. 141
formation energy from the elements	-0.084	eV per atom
crystal system	tetragonal


Entry 5:
DFT (GGA-PBE) results for a geometry-optimized TlZnTeF structure.

a = 9.9335 Å, b = 19.4272 Å, c = 3.9582 Å
α = 90.00°, β = 90.00°, γ = 90.00°
Sites, in units of the cell vectors:
Tl 0.0023 0.2482 0.0000
Tl 0.2438 0.1357 0.0000
Tl 0.2562 0.6357 0.0000
Tl 0.4977 0.7482 0.0000
Tl 0.5023 0.2518 0.0000
Tl 0.7438 0.3643 0.0000
Tl 0.7562 0.8643 0.0000
Tl 0.9977 0.7518 0.0000
Zn 0.0874 0.4074 0.5000
Zn 0.0973 0.9150 0.5000
Zn 0.4027 0.4150 0.5000
Zn 0.4126 0.9074 0.5000
Zn 0.5874 0.0926 0.5000
Zn 0.5973 0.5850 0.5000
Zn 0.9027 0.0850 0.5000
Zn 0.9126 0.5926 0.5000
Te 0.2346 0.5171 0.5000
Te 0.2444 0.8005 0.5000
Te 0.2556 0.3005 0.5000
Te 0.2654 0.0171 0.5000
Te 0.7346 0.9829 0.5000
Te 0.7444 0.6995 0.5000
Te 0.7556 0.1995 0.5000
Te 0.7654 0.4829 0.5000
F 0.0120 0.3951 0.0000
F 0.0173 0.9090 0.0000
F 0.4827 0.4090 0.0000
F 0.4880 0.8951 0.0000
F 0.5120 0.1049 0.0000
F 0.5173 0.5910 0.0000
F 0.9827 0.0910 0.0000
F 0.9880 0.6049 0.0000

Results
energy above the most stable polymorph in this dataset	182	meV per atom
V	23.87	Å³ per atom
space group	Pbam, No. 55
crystal system	orthorhombic


Entry 6:
DFT (GGA-PBE) results for a geometry-optimized NaHoAsO structure.

a = 3.4816 Å, b = 8.3797 Å, c = 5.9606 Å
α = 90.00°, β = 90.00°, γ = 90.00°
Sites, in units of the cell vectors:
Na 0.0000 0.0715 0.0000
Na 0.0000 0.9285 0.5000
Ho 0.5000 0.3176 0.3835
Ho 0.5000 0.6824 0.8835
As 0.5000 0.3386 0.8743
As 0.5000 0.6614 0.3743
O 0.0000 0.1773 0.3591
O 0.0000 0.8227 0.8591

Results
energy above the most stable polymorph in this dataset	91	meV per atom
total magnetization	0.0	μB per cell
V	21.74	Å³ per atom
space group	Pmc2_1, No. 26
crystal system	orthorhombic


Entry 7:
DFT (GGA-PBE) results for a geometry-optimized Ho2Tl structure.

a = 9.2809 Å, b = 9.2809 Å, c = 9.2809 Å
α = 60.00°, β = 60.00°, γ = 60.00°
Sites, in units of the cell vectors:
Ho 0.0000 0.0000 0.0000
Ho 0.0000 0.0000 0.5000
Ho 0.0000 0.5000 0.0000
Ho 0.5000 0.0000 0.0000
Tl 0.1250 0.1250 0.1250
Tl 0.8750 0.8750 0.8750

Results
total magnetization	0.0	μB per cell
V	94.21	Å³ per atom
uncorrected energy	-2.378	eV per atom
space group	Fd-3m, No. 227
crystal system	cubic


Entry 8:
DFT (GGA-PBE) results for a geometry-optimized Ta4FeBiC2 structure.

a = 3.1532 Å, b = 3.1532 Å, c = 14.1481 Å
α = 90.00°, β = 90.00°, γ = 120.00°
Sites, in units of the cell vectors:
Ta 0.0000 0.0000 0.1385
Ta 0.0000 0.0000 0.8615
Ta 0.6667 0.3333 0.3139
Ta 0.6667 0.3333 0.6861
Fe 0.6667 0.3333 0.0000
Bi 0.0000 0.0000 0.5000
C 0.3333 0.6667 0.2280
C 0.3333 0.6667 0.7720

Results
total magnetization	1.5	μB per cell
V	15.23	Å³ per atom
uncorrected energy	-9.885	eV per atom
space group	P-6m2, No. 187
crystal system	hexagonal